Here is an optimized crystal structure of CdInHg6 from the Alexandria database. Energies are from PBE.

Output
- ΔH_f (0 K): 0.017 eV per atom
- Electronic total energy: -5.328 eV/f.u.

Cell lengths 4.464, 4.464, 10.513 Å; angles 90.00, 90.00, 90.00 degrees
Space group P4/mmm (No. 123)
Unique sites:
Cd 0.000 0.000 0.000
In 0.000 0.000 0.500
Hg 0.000 0.500 0.243
Hg 0.500 0.500 0.000
Hg 0.500 0.500 0.500

=====

Here is an optimized crystal structure of Cd12In16Hg from the Alexandria database. Energies are from PBE.

Output
- ΔH_f (0 K): 0.015 eV per atom
- Electronic total energy: -54.678 eV/f.u.

Cell lengths 11.370, 16.125, 9.849 Å; angles 90.00, 125.25, 90.00 degrees
Space group Cm (No. 8)
Unique sites:
Cd 0.000 0.000 0.000
Cd 0.028 0.407 0.188
Cd 0.089 0.094 0.565
Cd 0.119 0.310 0.998
Cd 0.183 0.000 0.374
Cd 0.214 0.405 0.816
Cd 0.310 0.309 0.376
In 0.000 0.500 0.472
In 0.104 0.296 0.500
In 0.260 0.137 0.185
In 0.292 0.203 0.878
In 0.308 0.500 0.521
In 0.309 0.500 0.184
In 0.372 0.154 0.598
In 0.461 0.346 0.777
In 0.464 0.000 0.852
In 0.479 0.331 0.188
Hg 0.216 0.000 0.906

=====

Here is an optimized crystal structure of Cd11In17Hg from the Alexandria database. Energies are from PBE.

Output
- ΔH_f (0 K): 0.018 eV per atom
- Electronic total energy: -56.404 eV/f.u.

Cell lengths 11.408, 16.144, 9.865 Å; angles 90.00, 125.24, 90.00 degrees
Space group Cm (No. 8)
Unique sites:
Cd 0.000 0.000 0.000
Cd 0.030 0.407 0.192
Cd 0.092 0.095 0.567
Cd 0.124 0.313 0.001
Cd 0.217 0.405 0.815
Cd 0.313 0.312 0.380
In 0.002 0.500 0.472
In 0.108 0.296 0.501
In 0.220 0.000 0.909
In 0.263 0.142 0.190
In 0.298 0.203 0.881
In 0.310 0.500 0.190
In 0.314 0.500 0.529
In 0.374 0.155 0.598
In 0.466 0.344 0.783
In 0.474 0.000 0.853
In 0.480 0.331 0.189
Hg 0.185 0.000 0.374

=====

> Which formula does entry 1 have?

CdInHg6

=====

> Which of these has the lowest electronic total energy?

Cd11In17Hg

=====

> What is the formula in the second record?

Cd12In16Hg